[1]
This record from Alexandria describes an optimized crystal structure of Ac3Sn2Pd9Au. The functional is GGA-PBE.

Calculated values
energy of formation	-50.70	kJ/mol of atoms
calculated volume	375.6	Å³/cell
E	-5.22	eV/atom
total magnetization	0.00	μB/f.u.

Lattice parameters (Å, degrees): 5.923 5.923 12.364 90.00 90.00 120.00
Atoms (fractional coordinates):
Ac  0.000  0.000  0.000
Ac  0.333  0.667  0.735
Ac  0.667  0.333  0.265
Sn  0.333  0.667  0.167
Sn  0.667  0.333  0.833
Pd  0.000  0.500  0.000
Pd  0.160  0.319  0.324
Pd  0.160  0.840  0.324
Pd  0.319  0.160  0.676
Pd  0.500  0.000  0.000
Pd  0.500  0.500  0.000
Pd  0.681  0.840  0.324
Pd  0.840  0.160  0.676
Pd  0.840  0.681  0.676
Au  0.000  0.000  0.500

[2]
This record from Alexandria describes an optimized crystal structure of Ac2Sn3Pd4Au. The functional is GGA-PBE.

Calculated values
energy of formation	-74.33	kJ/mol of atoms
calculated volume	236.3	Å³/cell
E	-5.20	eV/atom
total magnetization	0.00	μB/f.u.

Lattice parameters (Å, degrees): 4.672 4.672 10.825 90.00 90.00 90.00
Atoms (fractional coordinates):
Ac  0.000  0.500  0.244
Ac  0.500  0.000  0.756
Sn  0.000  0.000  0.000
Sn  0.000  0.500  0.622
Sn  0.500  0.000  0.378
Pd  0.000  0.000  0.500
Pd  0.000  0.500  0.865
Pd  0.500  0.000  0.135
Pd  0.500  0.500  0.500
Au  0.500  0.500  0.000

[3]
This record from Alexandria describes an optimized crystal structure of AcSnPd4Au2. The functional is GGA-PBE.

Calculated values
energy of formation	-48.88	kJ/mol of atoms
calculated volume	157.1	Å³/cell
E	-4.94	eV/atom
total magnetization	0.00	μB/f.u.

Lattice parameters (Å, degrees): 8.553 8.553 8.553 32.11 32.11 32.11
Atoms (fractional coordinates):
Ac  0.000  0.000  0.000
Sn  0.500  0.500  0.500
Pd  0.132  0.132  0.132
Pd  0.393  0.393  0.393
Pd  0.607  0.607  0.607
Pd  0.868  0.868  0.868
Au  0.252  0.252  0.252
Au  0.748  0.748  0.748

Question: Which formula does entry 1 have?
Answer: Ac3Sn2Pd9Au

Question: Among the records above, which one has the lowest E?
Answer: Ac3Sn2Pd9Au

What did the third record say?
This record from Alexandria describes an optimized crystal structure of AcSnPd4Au2. The functional is GGA-PBE.

Calculated values
energy of formation	-48.88	kJ/mol of atoms
calculated volume	157.1	Å³/cell
E	-4.94	eV/atom
total magnetization	0.00	μB/f.u.

Lattice parameters (Å, degrees): 8.553 8.553 8.553 32.11 32.11 32.11
Atoms (fractional coordinates):
Ac  0.000  0.000  0.000
Sn  0.500  0.500  0.500
Pd  0.132  0.132  0.132
Pd  0.393  0.393  0.393
Pd  0.607  0.607  0.607
Pd  0.868  0.868  0.868
Au  0.252  0.252  0.252
Au  0.748  0.748  0.748

Question: Among the records above, which one has the highest E?
Answer: AcSnPd4Au2